# 1
The following is a meta-GGA SCAN calculation of a PBEsol-optimized structure of KBr2Cl, from Alexandria.

a = 7.6466 Å, b = 7.6466 Å, c = 7.6466 Å
α = 90.00°, β = 90.00°, γ = 90.00°
Closest atoms and distances in Å follow each position.
Space group Fm-3m (No. 225)
Asymmetric unit:
K 0.0000 0.0000 0.0000  8 Br 3.31
Br 0.2500 0.2500 0.2500  4 Cl 3.31, 4 K 3.31
Cl 0.0000 0.0000 0.5000  8 Br 3.31

## Properties
* excess energy over the best structure of this formula in the dataset: 1.98 eV/f.u.

# 2
The following is a meta-GGA SCAN calculation of a PBEsol-optimized structure of KBrCl2, from Alexandria.

a = 3.9927 Å, b = 4.0729 Å, c = 6.8454 Å
α = 90.00°, β = 90.00°, γ = 90.00°
Closest atoms and distances in Å follow each position.
Space group Pmmm (No. 47)
Asymmetric unit:
K 0.0000 0.0000 0.0000  4 Cl 2.85
Br 0.0000 0.5000 0.5000  4 Cl 2.85
Cl 0.5000 0.0000 0.5000  4 Br 2.85
Cl 0.5000 0.5000 0.0000  4 K 2.85

# 3
The following is a meta-GGA SCAN calculation of a PBEsol-optimized structure of K2BrCl, from Alexandria.

a = 8.0890 Å, b = 8.0890 Å, c = 9.1940 Å
α = 90.00°, β = 90.00°, γ = 90.00°
Closest atoms and distances in Å follow each position.
Space group I-42d (No. 122)
Asymmetric unit:
K 0.2339 0.2500 0.1250  2 Cl 3.00, 2 Br 3.17
Br 0.0000 0.0000 0.5000  4 K 3.17
Cl 0.0000 0.0000 0.0000  4 K 3.00

## Properties
* excess energy over the best structure of this formula in the dataset: 0.48 eV/f.u.

# 4
The following is a meta-GGA SCAN calculation of a PBEsol-optimized structure of KLiBr2Cl, from Alexandria.

a = 5.7779 Å, b = 5.7779 Å, c = 12.1892 Å
α = 90.00°, β = 90.00°, γ = 90.00°
Closest atoms and distances in Å follow each position.
Space group P4/mmm (No. 123)
Asymmetric unit:
K 0.0000 0.0000 0.0000  4 Br 2.89
Li 0.0000 0.0000 0.5000  4 Cl 4.09
Br 0.0000 0.5000 0.0000  2 K 2.89
Cl 0.5000 0.5000 0.5000  4 Li 4.09

# 5
The following is a meta-GGA SCAN calculation of a PBEsol-optimized structure of K2OsBrCl, from Alexandria.

a = 6.1827 Å, b = 6.1827 Å, c = 4.5338 Å
α = 90.00°, β = 90.00°, γ = 90.00°
Closest atoms and distances in Å follow each position.
Space group P4/mmm (No. 123)
Asymmetric unit:
K 0.0000 0.5000 0.0000  2 Os 3.09
Os 0.0000 0.0000 0.0000  2 Br 2.27
Br 0.0000 0.0000 0.5000  2 Os 2.27
Cl 0.5000 0.5000 0.5000  8 K 3.83

# 6
The following is a meta-GGA SCAN calculation of a PBEsol-optimized structure of LaBrCl2, from Alexandria.

a = 3.8364 Å, b = 5.3463 Å, c = 11.2337 Å
α = 90.00°, β = 90.00°, γ = 90.00°
Closest atoms and distances in Å follow each position.
Space group Immm (No. 71)
Asymmetric unit:
La 0.0000 0.0000 0.0000  4 Cl 2.78
Br 0.0000 0.0000 0.5000  4 La 3.29, 4 Cl 3.35
Cl 0.0000 0.5000 0.3209  2 La 2.78

## Properties
* excess energy over the best structure of this formula in the dataset: 0.55 eV/f.u.

# 7
The following is a meta-GGA SCAN calculation of a PBEsol-optimized structure of LaBrCl2, from Alexandria.

a = 5.5239 Å, b = 4.3118 Å, c = 7.1568 Å
α = 90.00°, β = 112.62°, γ = 90.00°
Closest atoms and distances in Å follow each position.
Space group Pm (No. 6)
Asymmetric unit:
La 0.0000 0.0000 0.0000  4 Cl 2.76-2.77, 2 Br 2.93
Br 0.8501 0.5000 0.6999  2 La 2.93
Cl 0.1311 0.5000 0.2628  2 La 2.77
Cl 0.5030 0.0000 0.0060  2 La 2.76

## Properties
* excess energy over the best structure of this formula in the dataset: 0.09 eV/f.u.

# 8
The following is a meta-GGA SCAN calculation of a PBEsol-optimized structure of LaBrCl2, from Alexandria.

a = 5.8324 Å, b = 12.2690 Å, c = 4.2361 Å
α = 90.00°, β = 90.00°, γ = 90.00°
Closest atoms and distances in Å follow each position.
Space group Cmmm (No. 65)
Asymmetric unit:
La 0.0000 0.0000 0.0000  4 Cl 2.77, 2 Br 2.92
Br 0.0000 0.5000 0.0000  2 La 2.92
Cl 0.0000 0.1452 0.5000  2 La 2.77

## Properties
* excess energy over the best structure of this formula in the dataset: 0.13 eV/f.u.

# 9
The following is a meta-GGA SCAN calculation of a PBEsol-optimized structure of LaBr2Cl, from Alexandria.

a = 10.1097 Å, b = 4.0443 Å, c = 7.3482 Å
α = 90.00°, β = 113.64°, γ = 90.00°
Closest atoms and distances in Å follow each position.
Space group Cm (No. 8)
Asymmetric unit:
La 0.0000 0.0000 0.0000  3 Cl 2.89-2.99, 4 Br 2.93-2.94
Br 0.1629 0.5000 0.2947  2 La 2.94
Br 0.4919 0.0000 0.7063  2 La 2.93
Cl 0.2959 0.0000 0.0006  3 La 2.89-2.99

## Properties
* excess energy over the best structure of this formula in the dataset: 0.00 eV/f.u.

# 10
The following is a meta-GGA SCAN calculation of a PBEsol-optimized structure of LaBrCl2, from Alexandria.

a = 10.9601 Å, b = 4.0044 Å, c = 6.3678 Å
α = 90.00°, β = 120.77°, γ = 90.00°
Closest atoms and distances in Å follow each position.
Space group Cm (No. 8)
Asymmetric unit:
La 0.0000 0.0000 0.0000  4 Cl 2.76-2.80, 2 Br 3.03
Br 0.2912 0.0000 0.9962  3 La 3.03-3.20
Cl 0.1623 0.5000 0.3348  2 La 2.80
Cl 0.4783 0.0000 0.6839  2 La 2.76

## Properties
* excess energy over the best structure of this formula in the dataset: 0.00 eV/f.u.

# 11
The following is a meta-GGA SCAN calculation of a PBEsol-optimized structure of LaBrCl4, from Alexandria.

a = 8.0440 Å, b = 8.0440 Å, c = 8.0440 Å
α = 90.00°, β = 90.00°, γ = 90.00°
Closest atoms and distances in Å follow each position.
Space group F-43m (No. 216)
Asymmetric unit:
La 0.0000 0.0000 0.0000  12 Cl 3.33, 4 Br 3.48
Br 0.2500 0.2500 0.2500  12 Cl 3.34, 4 La 3.48
Cl 0.1257 0.1257 0.6257  6 Cl 2.83-2.86

# 12
The following is a meta-GGA SCAN calculation of a PBEsol-optimized structure of LaBr2Cl, from Alexandria.

a = 4.3151 Å, b = 5.8130 Å, c = 12.8170 Å
α = 90.00°, β = 90.00°, γ = 90.00°
Closest atoms and distances in Å follow each position.
Space group Amm2 (No. 38)
Asymmetric unit:
La 0.0000 0.0000 0.0000  2 Cl 2.77, 4 Br 2.91-2.93
Br 0.0000 0.0000 0.5016  2 La 2.91
Br 0.5000 0.0000 0.8455  2 La 2.93
Cl 0.5000 0.0000 0.1350  2 La 2.77

## Properties
* excess energy over the best structure of this formula in the dataset: 0.09 eV/f.u.

no.,volume (Å³ per cell),formation energy (no corrections) (eV/atom)
1,447,-0.56
2,111,-0.79
3,602,-1.94
4,407,-0.58
5,173,-0.06
6,230,-2.31
7,157,-2.43
8,303,-2.42
9,275,-2.30
10,240,-2.45
11,520,-1.02
12,321,-2.28